Below is an optimized crystal structure of LaEr2Ga2, with properties calculated at the PBE-GGA level.

ΔH_f (0 K): -0.39 eV per atom

The structure in POSCAR format:
```
LaEr2Ga2
1.0
12.693 0.000 0.000
0.000 3.823 0.000
-1.225 0.000 5.665
La Er Ga
2 4 4
direct
0.000 0.000 0.000
0.500 0.500 0.000
0.140 0.500 0.571
0.360 0.000 0.429
0.640 0.000 0.571
0.860 0.500 0.429
0.211 0.500 0.116
0.289 0.000 0.884
0.711 0.000 0.116
0.789 0.500 0.884
```